Compound: LaPuAlHg
Source: the Alexandria database
Functional: PBE
Structure: optimized geometry

```
LaPuAlHg
1.0
7.585 0.000 0.000
0.000 7.585 0.000
0.000 0.000 7.585
La Pu Al Hg
4 4 4 4
Direct
0.000 0.000 0.000 La
0.000 0.500 0.500 La
0.500 0.000 0.500 La
0.500 0.500 0.000 La
0.000 0.000 0.500 Pu
0.000 0.500 0.000 Pu
0.500 0.000 0.000 Pu
0.500 0.500 0.500 Pu
0.250 0.250 0.250 Al
0.250 0.750 0.750 Al
0.750 0.250 0.750 Al
0.750 0.750 0.250 Al
0.250 0.250 0.750 Hg
0.250 0.750 0.250 Hg
0.750 0.250 0.250 Hg
0.750 0.750 0.750 Hg
```

- Energy: -96.44 eV for the cell shown
- Space group: No. 216
- Formation energy: -0.8 eV/f.u.
- Total moment: 6.4 μB per formula unit
- Crystal system: cubic

Compound: TbCeMo4
Source: the Alexandria database
Functional: PBE
Structure: optimized geometry

```
TbCeMo4
1.0
0.000 3.912 3.912
3.912 0.000 3.912
3.912 3.912 0.000
Tb Ce Mo
1 1 4
Direct
0.000 0.000 0.000 Tb
0.750 0.750 0.750 Ce
0.375 0.375 0.375 Mo
0.375 0.375 0.874 Mo
0.375 0.874 0.375 Mo
0.874 0.375 0.375 Mo
```

- Energy: -52.98 eV for the cell shown
- Space group: No. 216
- Formation energy: 0.9 eV/f.u.
- Total moment: 0.0 μB per formula unit
- Crystal system: cubic

Compound: Ba2SnF8
Source: the Alexandria database
Functional: PBE
Structure: optimized geometry

```
Ba2SnF8
1.0
5.448 -4.085 0.000
5.448 4.085 0.000
-1.641 0.000 4.728
Ba Sn F
2 1 8
Direct
0.163 0.163 0.357 Ba
0.837 0.837 0.643 Ba
0.500 0.500 0.000 Sn
0.088 0.088 0.805 F
0.209 0.551 0.754 F
0.387 0.387 0.237 F
0.449 0.791 0.246 F
0.551 0.209 0.754 F
0.613 0.613 0.763 F
0.791 0.449 0.246 F
0.912 0.912 0.195 F
```

- Energy: -59.01 eV for the cell shown
- Space group: No. 12
- Total moment: 0.1 μB per formula unit
- Formation energy from raw total energies: -3492 kJ/mol of formula units
- Crystal system: monoclinic

The highest total moment belongs to which entry? LaPuAlHg